(1)
A geometry-optimized Mg2CdSnAu4 structure. Source: the Alexandria database, functional PBE-GGA.

abc: 8.260 8.260 8.260
angles: 33.77 33.77 33.77
Positions (direct):
Mg1 0.248 0.248 0.248
Mg2 0.752 0.752 0.752
Cd1 0.500 0.500 0.500
Sn1 0.000 0.000 0.000
Au1 0.128 0.128 0.128
Au2 0.376 0.376 0.376
Au3 0.624 0.624 0.624
Au4 0.872 0.872 0.872

- Space group: No. 166
- Energy of formation: -8.34 kcal/mol of atoms

(2)
A geometry-optimized SrCeCu10 structure. Source: the Alexandria database, functional PBE-GGA.

abc: 4.050 5.234 8.965
angles: 90.00 90.00 90.00
Positions (direct):
Sr1 0.000 0.000 0.000
Ce1 0.000 0.500 0.500
Cu1 0.000 0.000 0.338
Cu2 0.000 0.000 0.662
Cu3 0.000 0.500 0.171
Cu4 0.000 0.500 0.829
Cu5 0.500 0.000 0.500
Cu6 0.500 0.255 0.257
Cu7 0.500 0.255 0.743
Cu8 0.500 0.500 0.000
Cu9 0.500 0.745 0.257
Cu10 0.500 0.745 0.743

- Space group: No. 47
- Energy of formation: -2.00 kcal/mol of atoms

(3)
A geometry-optimized Sm4CoAg structure. Source: the Alexandria database, functional PBE-GGA.

abc: 9.603 9.603 9.603
angles: 60.00 60.00 60.00
Positions (direct):
Sm1 0.188 0.188 0.812
Sm2 0.188 0.812 0.188
Sm3 0.188 0.812 0.812
Sm4 0.402 0.402 0.402
Sm5 0.402 0.402 0.794
Sm6 0.402 0.794 0.402
Sm7 0.561 0.561 0.939
Sm8 0.561 0.939 0.561
Sm9 0.561 0.939 0.939
Sm10 0.794 0.402 0.402
Sm11 0.812 0.188 0.188
Sm12 0.812 0.188 0.812
Sm13 0.812 0.812 0.188
Sm14 0.939 0.561 0.561
Sm15 0.939 0.561 0.939
Sm16 0.939 0.939 0.561
Co1 0.173 0.609 0.609
Co2 0.609 0.173 0.609
Co3 0.609 0.609 0.173
Co4 0.609 0.609 0.609
Ag1 0.169 0.169 0.169
Ag2 0.169 0.169 0.492
Ag3 0.169 0.492 0.169
Ag4 0.492 0.169 0.169

- Space group: No. 216
- Energy relative to the lowest polymorph listed for this composition: 0.0 meV per atom
- Energy of formation: -4.09 kcal/mol of atoms

(4)
A geometry-optimized ZnAg3Te structure. Source: the Alexandria database, functional PBE-GGA.

abc: 4.905 4.905 4.905
angles: 90.00 90.00 90.00
Positions (direct):
Zn1 0.000 0.000 0.000
Ag1 0.000 0.000 0.500
Ag2 0.000 0.500 0.000
Ag3 0.500 0.000 0.000
Te1 0.500 0.500 0.500

- Space group: No. 221
- Energy relative to the lowest polymorph listed for this composition: 0.0 meV per atom
- Uncorrected formation energy: 416 meV/atom

Total magnetic moment list, top to bottom, in μB/f.u.: 0.00, 1.01, 0.00, 0.00